Entry 1:
Compound: BeRuW2
Source: the Alexandria database
Functional: meta-GGA SCAN
Structure: PBEsol geometry

Output
E_tot, eV/atom: -44.39
Size of the total moment, Bohr magnetons per cell: 0.000
DFT formation energy, eV per atom: 0.247
Distance to the lowest polymorph of the same formula, eV per atom: 0.1337

abc: 3.044 3.044 5.779
angles: 90.00 90.00 90.00
Atoms (fractional coordinates):
W 0.000 0.000 0.781
Ru 0.500 0.500 0.500
W 0.000 0.000 0.219
Be 0.500 0.500 0.000



Entry 2:
Compound: Sr3MnTe
Source: the Alexandria database
Functional: meta-GGA SCAN
Structure: PBEsol geometry

Output
E_tot, eV/atom: -24.49
Size of the total moment, Bohr magnetons per cell: 2.510
Formation energy from raw total energies, eV/atom: -0.027

abc: 5.601 5.601 5.601
angles: 90.00 90.00 90.00
Atoms (fractional coordinates):
Sr 0.000 0.000 0.500
Te 0.500 0.500 0.500
Sr 0.000 0.500 0.000
Sr 0.500 0.000 0.000
Mn 0.000 0.000 0.000



Entry 3:
Compound: ScZn2Hg
Source: the Alexandria database
Functional: meta-GGA SCAN
Structure: PBEsol geometry

Output
E_tot, eV/atom: -27.66
Size of the total moment, Bohr magnetons per cell: 0.000
DFT formation energy, eV per atom: -0.305

abc: 3.085 4.495 5.272
angles: 90.00 90.06 90.00
Atoms (fractional coordinates):
Sc 0.000 0.500 0.500
Zn 0.501 0.000 0.733
Zn 0.499 0.000 0.267
Hg 0.500 0.500 0.000



Entry 4:
Compound: Pb2WBr
Source: the Alexandria database
Functional: meta-GGA SCAN
Structure: PBEsol geometry

Output
E_tot, eV/atom: -59.56
Size of the total moment, Bohr magnetons per cell: 0.000
Formation energy from raw total energies, eV/atom: 0.616
Distance to the lowest polymorph of the same formula, eV per atom: 0.0000

abc: 3.081 5.114 7.019
angles: 111.36 102.68 90.00
Atoms (fractional coordinates):
Br 0.177 0.677 0.354
Pb 0.007 0.007 0.013
W 0.509 0.509 0.018
Pb 0.807 0.307 0.615



Entry 5:
Compound: Nb2Al2Bi
Source: the Alexandria database
Functional: meta-GGA SCAN
Structure: PBEsol geometry

Output
E_tot, eV/atom: -31.95
Size of the total moment, Bohr magnetons per cell: 0.000
DFT formation energy, eV per atom: 0.116

abc: 3.674 3.674 7.624
angles: 103.94 103.94 90.00
Atoms (fractional coordinates):
Nb 0.398 0.398 0.797
Nb 0.602 0.602 0.203
Al 0.750 0.250 0.500
Bi 0.000 0.000 0.000
Al 0.250 0.750 0.500



Entry 6:
Compound: In2RuW
Source: the Alexandria database
Functional: meta-GGA SCAN
Structure: PBEsol geometry

Output
E_tot, eV/atom: -42.28
Size of the total moment, Bohr magnetons per cell: 0.000
DFT formation energy, eV per atom: 0.540
Distance to the lowest polymorph of the same formula, eV per atom: 0.0000

abc: 3.123 3.123 6.935
angles: 90.00 90.00 90.00
Atoms (fractional coordinates):
Ru 0.500 0.500 0.000
W 0.500 0.500 0.500
In 0.000 0.000 0.768
In 0.000 0.000 0.232



Entry 7:
Compound: AsSe2OF
Source: the Alexandria database
Functional: meta-GGA SCAN
Structure: PBEsol geometry

Output
E_tot, eV/atom: -13.63
Size of the total moment, Bohr magnetons per cell: 0.000
Formation energy from raw total energies, eV/atom: 0.395
Distance to the lowest polymorph of the same formula, eV per atom: 0.0000

abc: 4.378 4.378 4.284
angles: 90.00 90.00 90.00
Atoms (fractional coordinates):
O 0.000 0.000 0.000
As 0.000 0.000 0.500
F 0.500 0.500 0.500
Se 0.500 0.000 0.000
Se 0.000 0.500 0.000



Entry 8:
Compound: Ca3RuS
Source: the Alexandria database
Functional: meta-GGA SCAN
Structure: PBEsol geometry

Output
E_tot, eV/atom: -14.87
Size of the total moment, Bohr magnetons per cell: 0.000
Formation energy from raw total energies, eV/atom: -0.183

abc: 5.186 5.186 5.186
angles: 90.00 90.00 90.00
Atoms (fractional coordinates):
Ca 0.000 0.500 0.000
Ca 0.500 0.000 0.000
Ca 0.000 0.000 0.500
S 0.500 0.500 0.500
Ru 0.000 0.000 0.000



Entry 9:
Compound: NdSiIr
Source: the Alexandria database
Functional: meta-GGA SCAN
Structure: PBEsol geometry

Output
E_tot, eV/atom: -42.67
Size of the total moment, Bohr magnetons per cell: 0.000
Formation energy from raw total energies, eV/atom: -1.106

abc: 6.289 6.289 6.289
angles: 90.00 90.00 90.00
Atoms (fractional coordinates):
Ir 0.933 0.933 0.933
Si 0.164 0.664 0.836
Nd 0.622 0.622 0.622
Si 0.664 0.836 0.164
Ir 0.067 0.433 0.567
Nd 0.378 0.122 0.878
Si 0.836 0.164 0.664
Nd 0.878 0.378 0.122
Si 0.336 0.336 0.336
Nd 0.122 0.878 0.378
Ir 0.567 0.067 0.433
Ir 0.433 0.567 0.067



Entry 10:
Compound: SiTcAg2
Source: the Alexandria database
Functional: meta-GGA SCAN
Structure: PBEsol geometry

Output
E_tot, eV/atom: -26.45
Size of the total moment, Bohr magnetons per cell: 0.000
Formation energy from raw total energies, eV/atom: 0.505

abc: 2.677 4.299 5.279
angles: 90.00 90.00 90.00
Atoms (fractional coordinates):
Si 0.500 0.500 0.000
Tc 0.500 0.500 0.500
Ag 0.000 0.000 0.252
Ag 0.000 0.000 0.748



Entry 11:
Compound: LaSb2
Source: the Alexandria database
Functional: meta-GGA SCAN
Structure: PBEsol geometry

Output
E_tot, eV/atom: -39.92
Size of the total moment, Bohr magnetons per cell: 0.000
Formation energy from raw total energies, eV/atom: -0.714

abc: 4.023 5.052 5.052
angles: 120.00 90.00 90.00
Atoms (fractional coordinates):
Sb 0.500 0.333 0.667
Sb 0.500 0.667 0.333
La 0.000 0.000 0.000



Entry 12:
Compound: ZrTiBr3
Source: the Alexandria database
Functional: meta-GGA SCAN
Structure: PBEsol geometry

Output
E_tot, eV/atom: -21.28
Size of the total moment, Bohr magnetons per cell: 5.000
Formation energy from raw total energies, eV/atom: -0.258

abc: 5.047 5.047 5.047
angles: 90.00 90.00 90.00
Atoms (fractional coordinates):
Zr 0.500 0.500 0.500
Br 0.000 0.000 0.500
Br 0.000 0.500 0.000
Ti 0.000 0.000 0.000
Br 0.500 0.000 0.000



Entry 13:
Compound: BaCaPt2
Source: the Alexandria database
Functional: meta-GGA SCAN
Structure: PBEsol geometry

Output
E_tot, eV/atom: -48.25
Size of the total moment, Bohr magnetons per cell: 0.000
DFT formation energy, eV per atom: -0.852
Distance to the lowest polymorph of the same formula, eV per atom: 0.0000

abc: 4.147 4.453 5.942
angles: 90.00 110.42 90.00
Atoms (fractional coordinates):
Ba 0.523 0.500 0.046
Pt 0.800 0.500 0.600
Ca 0.241 0.000 0.482
Pt 0.936 0.000 0.872



Entry 14:
Compound: Li2Fe3TeO8
Source: the Alexandria database
Functional: meta-GGA SCAN
Structure: PBEsol geometry

Output
E_tot, eV/atom: -12.08
Size of the total moment, Bohr magnetons per cell: 10.000
Formation energy from raw total energies, eV/atom: -1.635
Distance to the lowest polymorph of the same formula, eV per atom: 0.0000

abc: 5.866 5.793 6.111
angles: 59.44 61.32 59.58
Atoms (fractional coordinates):
O 0.275 0.248 0.756
O 0.275 0.254 0.195
O 0.725 0.746 0.805
Li 0.862 0.870 0.405
Li 0.138 0.130 0.595
O 0.731 0.277 0.261
Fe 0.500 0.000 0.000
Fe 0.500 0.500 0.000
Fe 0.000 0.500 0.000
O 0.725 0.752 0.244
O 0.721 0.248 0.756
O 0.269 0.723 0.739
O 0.279 0.752 0.244
Te 0.500 0.500 0.500



Entry 15:
Compound: Na2DyMoPO8
Source: the Alexandria database
Functional: meta-GGA SCAN
Structure: PBEsol geometry

Output
E_tot, eV/atom: -14.39
Size of the total moment, Bohr magnetons per cell: 0.000
Formation energy from raw total energies, eV/atom: -2.744

abc: 6.875 11.331 11.331
angles: 64.13 72.34 72.34
Atoms (fractional coordinates):
O 0.669 0.393 0.849
O 0.733 0.361 0.101
Na 0.663 0.399 0.293
Mo 0.178 0.572 0.072
O 0.169 0.849 0.393
O 0.588 0.893 0.349
O 0.170 0.578 0.560
Mo 0.322 0.928 0.428
Dy 0.750 0.820 0.180
O 0.912 0.651 0.107
Dy 0.750 0.320 0.680
O 0.808 0.922 0.940
O 0.767 0.899 0.639
O 0.088 0.349 0.893
O 0.412 0.107 0.651
Na 0.355 0.207 0.101
O 0.692 0.060 0.078
O 0.192 0.078 0.060
O 0.082 0.345 0.640
P 0.250 0.932 0.068
O 0.267 0.639 0.899
O 0.582 0.640 0.345
O 0.305 0.861 0.601
O 0.195 0.399 0.139
O 0.695 0.139 0.399
O 0.433 0.845 0.140
Na 0.337 0.601 0.707
Dy 0.250 0.680 0.320
O 0.330 0.440 0.422
P 0.250 0.432 0.568
O 0.331 0.607 0.151
O 0.830 0.422 0.440
O 0.805 0.601 0.861
O 0.831 0.151 0.607
O 0.233 0.101 0.361
Na 0.855 0.101 0.207
Na 0.645 0.793 0.899
Na 0.837 0.707 0.601
O 0.933 0.140 0.845
O 0.308 0.940 0.922
O 0.918 0.655 0.360
O 0.567 0.155 0.860
O 0.670 0.560 0.578
Dy 0.250 0.180 0.820
P 0.750 0.568 0.432
Na 0.163 0.293 0.399
Mo 0.822 0.428 0.928
O 0.067 0.860 0.155
Mo 0.678 0.072 0.572
O 0.418 0.360 0.655
P 0.750 0.068 0.932
Na 0.145 0.899 0.793



Entry 16:
Compound: Ba2BAsF
Source: the Alexandria database
Functional: meta-GGA SCAN
Structure: PBEsol geometry

Output
E_tot, eV/atom: -22.73
Size of the total moment, Bohr magnetons per cell: 0.001
Formation energy from raw total energies, eV/atom: -0.679

abc: 3.986 6.041 6.041
angles: 90.00 90.00 90.00
Atoms (fractional coordinates):
Ba 0.000 0.500 0.000
F 0.500 0.500 0.500
B 0.500 0.000 0.000
Ba 0.000 0.000 0.500
As 0.000 0.000 0.000



Entry 17:
Compound: ZrCF3
Source: the Alexandria database
Functional: meta-GGA SCAN
Structure: PBEsol geometry

Output
E_tot, eV/atom: -11.86
Size of the total moment, Bohr magnetons per cell: 3.008
Formation energy from raw total energies, eV/atom: -1.576

abc: 4.126 4.126 4.126
angles: 90.00 90.00 90.00
Atoms (fractional coordinates):
F 0.000 0.500 0.500
C 0.000 0.000 0.000
F 0.500 0.000 0.500
Zr 0.500 0.500 0.500
F 0.500 0.500 0.000



Entry 18:
Compound: Rb3TlCl
Source: the Alexandria database
Functional: meta-GGA SCAN
Structure: PBEsol geometry

Output
E_tot, eV/atom: -29.31
Size of the total moment, Bohr magnetons per cell: 0.000
Formation energy from raw total energies, eV/atom: -0.796

abc: 6.259 6.259 6.259
angles: 90.00 90.00 90.00
Atoms (fractional coordinates):
Rb 0.000 0.000 0.500
Tl 0.500 0.500 0.500
Rb 0.500 0.000 0.000
Rb 0.000 0.500 0.000
Cl 0.000 0.000 0.000



Entry 19:
Compound: HgRhPb2
Source: the Alexandria database
Functional: meta-GGA SCAN
Structure: PBEsol geometry

Output
E_tot, eV/atom: -63.27
Size of the total moment, Bohr magnetons per cell: 0.000
DFT formation energy, eV per atom: 0.102

abc: 3.244 3.244 8.536
angles: 90.00 90.00 90.00
Atoms (fractional coordinates):
Pb 0.500 0.500 0.311
Pb 0.000 0.000 0.980
Hg 0.500 0.500 0.703
Rh 0.000 0.000 0.506



Entry 20:
Compound: MgHPbO2
Source: the Alexandria database
Functional: meta-GGA SCAN
Structure: PBEsol geometry

Output
E_tot, eV/atom: -19.46
Size of the total moment, Bohr magnetons per cell: 0.000

abc: 3.274 4.330 4.330
angles: 90.00 90.00 90.00
Atoms (fractional coordinates):
Pb 0.500 0.000 0.000
O 0.000 0.500 0.000
O 0.000 0.000 0.500
H 0.000 0.000 0.000
Mg 0.500 0.500 0.500